(1)
The following is a PBE calculation of a relaxed ScTlCd crystal, from Alexandria.

Structure (POSCAR):
```
ScTlCd
1.0
-1.162 -2.609 -5.387
-2.711 -1.613 3.304
-3.919 4.614 2.198
Sc Tl Cd
2 2 2
Cartesian
-5.657 1.843 3.805
-5.996 1.946 0.410
-3.398 0.862 2.014
-3.920 0.977 -1.516
-4.256 -1.660 0.079
-1.326 -0.159 0.056
```

crystal system	triclinic
energy of formation from the pure elements	-0.15	eV/atom
VASP energy	-20.109	eV/cell
space group	P1, No. 1
M_tot	0.0	μB per formula unit

(2)
The following is a PBE calculation of a relaxed Sc5Se5N crystal, from Alexandria.

Structure (POSCAR):
```
Sc5Se5N
1.0
-0.742 5.016 -1.702
-1.947 -1.075 6.083
7.341 1.158 0.211
Sc Se N
5 5 1
Cartesian
-0.923 3.689 2.869
3.184 4.355 3.041
-0.371 2.508 -0.851
1.468 0.744 1.551
5.575 1.410 1.723
1.266 3.395 1.050
4.903 3.928 1.032
3.670 0.579 0.106
-0.251 1.171 3.560
3.386 1.703 3.542
0.000 0.000 0.000
```

crystal system	monoclinic
formation energy without anion corrections	-1.630	eV per atom
VASP energy	-75.338	eV/cell
space group	C2/m, No. 12
M_tot	0.0	μB per formula unit

(3)
The following is a PBE calculation of a relaxed CoPtCl2 crystal, from Alexandria.

Structure (POSCAR):
```
CoPtCl2
1.0
0.676 0.075 4.477
-3.255 -1.428 2.806
0.515 -3.880 2.278
Co Pt Cl
1 1 2
Cartesian
0.000 0.000 0.000
-1.032 -2.616 4.780
-0.516 -1.308 2.390
-1.548 -3.924 7.170
```

crystal system	cubic
formation energy without anion corrections	0.691	eV per atom
VASP energy	-14.077	eV/cell
ΔE to the lowest computed polymorph	782	meV/atom
space group	Fm-3m, No. 225
M_tot	2.9	μB per formula unit

(4)
The following is a PBE calculation of a relaxed TlCdAs2Se crystal, from Alexandria.

Structure (POSCAR):
```
TlCdAs2Se
1.0
-0.322 4.288 2.960
-3.467 -2.390 3.086
4.081 -1.862 3.142
Tl As Se Cd
1 2 1 1
Cartesian
0.146 0.018 4.594
-1.734 -1.195 1.543
-0.161 2.144 1.480
2.040 -0.931 1.571
0.000 0.000 0.000
```

crystal system	tetragonal
formation energy without anion corrections	0.569	eV per atom
VASP energy	-13.220	eV/cell
ΔE to the lowest computed polymorph	0	meV/atom
space group	P4/mmm, No. 123
M_tot	1.0	μB per formula unit

(5)
The following is a PBE calculation of a relaxed LiZr3Tl crystal, from Alexandria.

Structure (POSCAR):
```
LiZr3Tl
1.0
-1.890 -4.192 1.311
4.366 -1.948 0.066
0.477 1.223 4.598
Tl Zr Li
1 3 1
Cartesian
1.476 -2.459 2.987
2.183 -0.974 0.033
0.238 0.611 2.299
-0.945 -2.096 0.655
0.000 0.000 0.000
```

crystal system	cubic
energy of formation from the pure elements	0.53	eV/atom
VASP energy	-27.278	eV/cell
ΔE to the lowest computed polymorph	0	meV/atom
space group	Pm-3m, No. 221
M_tot	0.0	μB per formula unit

(6)
The following is a PBE calculation of a relaxed LaTb6Pm3 crystal, from Alexandria.

Structure (POSCAR):
```
LaTb6Pm3
1.0
-1.236 -5.324 3.249
10.730 -1.127 2.235
-6.440 5.698 6.889
La Tb Pm
2 12 6
Cartesian
-3.288 3.722 6.397
6.653 -3.137 5.159
3.566 2.499 6.025
1.422 0.443 8.063
-0.882 2.823 8.935
5.688 -2.696 8.611
9.597 -2.844 3.628
-2.517 0.372 7.713
5.823 -0.036 3.995
-6.846 0.785 9.541
-2.939 0.632 4.562
3.632 -4.888 4.238
2.136 0.975 2.984
-0.008 -1.080 5.022
4.904 0.519 8.481
0.390 -0.594 11.162
0.122 2.651 5.330
3.364 -1.546 5.908
-2.377 -3.543 5.277
2.137 -2.430 2.597
```

crystal system	orthorhombic
energy of formation from the pure elements	0.15	eV/atom
VASP energy	-90.950	eV/cell
ΔE to the lowest computed polymorph	0	meV/atom
space group	Cmc2_1, No. 36
M_tot	0.0	μB per formula unit

(7)
The following is a PBE calculation of a relaxed Nd7TmMg4 crystal, from Alexandria.

Structure (POSCAR):
```
Nd7TmMg4
1.0
-0.279 2.658 -5.219
1.646 -6.329 -6.605
-6.875 -2.172 -4.033
Nd Tm Mg
7 1 4
Cartesian
-2.309 -4.538 -12.069
-3.200 -1.305 -3.788
-0.874 -3.979 -5.274
-4.634 -1.864 -10.583
-4.273 -5.545 -9.183
-0.140 1.329 -2.610
-1.236 -0.298 -6.674
0.000 0.000 0.000
-3.889 -1.851 -7.323
-1.619 -3.992 -8.534
-5.957 -4.519 -11.865
0.448 -1.324 -3.992
```

crystal system	monoclinic
energy of formation from the pure elements	0.13	eV/atom
VASP energy	-42.707	eV/cell
space group	C2/m, No. 12
M_tot	0.0	μB per formula unit

(8)
The following is a PBE calculation of a relaxed YTiTe2I crystal, from Alexandria.

Structure (POSCAR):
```
YTiTe2I
1.0
-5.302 -2.388 0.873
1.744 -1.947 5.267
-1.815 4.912 2.416
I Y Te Ti
1 1 2 1
Cartesian
-0.907 2.456 1.208
0.000 0.000 0.000
0.872 -0.973 2.634
-2.651 -1.194 0.436
-2.686 0.288 4.278
```

crystal system	tetragonal
formation energy without anion corrections	0.113	eV per atom
VASP energy	-21.629	eV/cell
ΔE to the lowest computed polymorph	444	meV/atom
space group	P4/mmm, No. 123
M_tot	0.0	μB per formula unit

(9)
The following is a PBE calculation of a relaxed NbP3Pd crystal, from Alexandria.

Structure (POSCAR):
```
NbP3Pd
1.0
-3.487 -2.850 0.809
1.704 -2.952 -3.052
2.423 -2.025 3.311
P Nb Pd
3 1 1
Cartesian
0.852 -1.476 -1.526
1.212 -1.012 1.655
-1.743 -1.425 0.405
0.320 -3.913 0.534
0.000 0.000 0.000
```

crystal system	cubic
energy of formation from the pure elements	0.89	eV/atom
VASP energy	-27.049	eV/cell
ΔE to the lowest computed polymorph	318	meV/atom
space group	Pm-3m, No. 221
M_tot	0.0	μB per formula unit

(10)
The following is a PBE calculation of a relaxed LaCd2Sn2Au2 crystal, from Alexandria.

Structure (POSCAR):
```
LaCd2Sn2Au2
1.0
-4.257 -1.141 -1.932
-3.420 -2.007 2.727
-5.599 6.873 2.283
La Cd Sn Au
1 2 2 2
Cartesian
0.000 0.000 0.000
-4.337 3.583 1.445
-8.940 0.141 1.632
-9.980 2.852 2.323
-3.297 0.872 0.754
-5.723 -0.523 0.931
-7.553 4.247 2.146
```

crystal system	trigonal
energy of formation from the pure elements	-0.44	eV/atom
VASP energy	-24.398	eV/cell
space group	R-3m, No. 166
M_tot	0.0	μB per formula unit

(11)
The following is a PBE calculation of a relaxed PmAgAu3 crystal, from Alexandria.

Structure (POSCAR):
```
PmAgAu3
1.0
5.611 0.292 0.419
0.641 6.151 3.904
0.641 1.554 7.120
Pm Ag Au
2 2 6
Cartesian
2.756 6.980 9.996
4.136 1.017 1.446
6.252 4.145 5.931
3.446 3.998 5.721
2.402 2.466 3.540
4.490 5.531 7.902
1.840 6.231 6.423
5.049 4.089 3.381
5.053 1.765 5.019
1.843 3.907 8.062
```

crystal system	triclinic
energy of formation from the pure elements	-0.44	eV/atom
VASP energy	-39.282	eV/cell
ΔE to the lowest computed polymorph	54	meV/atom
space group	P-1, No. 2
M_tot	0.0	μB per formula unit

(12)
The following is a PBE calculation of a relaxed Ba2TcAs crystal, from Alexandria.

Structure (POSCAR):
```
Ba2TcAs
1.0
-6.948 -8.871 3.681
4.435 -6.993 -8.482
0.463 -8.657 -0.904
As Ba Tc
2 4 2
Cartesian
-1.256 -7.932 -2.400
1.821 -11.791 -5.893
-5.026 -10.312 1.732
-3.575 -14.786 -2.103
-1.460 -11.079 -0.825
-5.422 -14.744 1.950
0.000 0.000 0.000
-3.871 -12.730 0.188
```

crystal system	tetragonal
energy of formation from the pure elements	0.00	eV/atom
VASP energy	-37.683	eV/cell
space group	I-42d, No. 122
M_tot	0.2	μB per formula unit